DFT (GGA-PBE) results for crystalline CsCu2GeSe4 at its relaxed geometry.

Computed properties:
* N(E_F): 0.8224 states/eV per atom
* crystal system: orthorhombic
* calculated total energy: -3.8311 eV/atom

a = 6.4795 Å, b = 8.6946 Å, c = 9.2412 Å
α = 90.00°, β = 90.00°, γ = 90.00°
Closest atoms and distances in Å follow each position.
Space group I222 (No. 23)
One atom of each set of equivalent atoms:
Cs 0.0000 0.0000 0.0000  8 Se 3.74-3.82
Cu 0.0000 0.5000 0.1318  2 Se 2.29, 1 Cu 2.44
Ge 0.0000 0.0000 0.5000  4 Se 2.40
Se 0.2189 0.1588 0.3533  1 Cu 2.29, 1 Ge 2.40